No. 1
The following is a DFT calculation (SCAN) of a crystal of LiCaAs2 relaxed with PBEsol.

Crystal system = orthorhombic

Unit cell a=3.1663 b=5.0773 c=5.0773 alpha=106.18 beta=90.00 gamma=90.00
Sites, in units of the cell vectors:
1 As 0.0000 0.0000 0.5000
2 Li 0.5000 0.5000 0.5000
3 As 0.0000 0.5000 0.0000
4 Ca 0.5000 0.0000 0.0000

No. 2
The following is a DFT calculation (SCAN) of a crystal of SrLi2CaAs relaxed with PBEsol.

Crystal system = tetragonal

Unit cell a=5.0071 b=5.0071 c=6.5402 alpha=90.00 beta=90.00 gamma=90.00
Sites, in units of the cell vectors:
1 Sr 0.0000 0.0000 0.5000
2 Li 0.5000 0.0000 0.0000
3 Li 0.0000 0.5000 0.0000
4 As 0.5000 0.5000 0.5000
5 Ca 0.0000 0.0000 0.0000

No. 3
The following is a DFT calculation (SCAN) of a crystal of LiCaTiAs2 relaxed with PBEsol.

Crystal system = tetragonal

Unit cell a=4.2414 b=4.7244 c=4.7244 alpha=90.00 beta=90.00 gamma=90.00
Each line ends with the local moment (μB).
Sites, in units of the cell vectors:
1 Ca 0.5000 0.0000 0.0000  0.07
2 Ti 0.5000 0.5000 0.5000  1.70
3 As 0.0000 0.0000 0.5000  -0.03
4 Li 0.0000 0.0000 0.0000  0.01
5 As 0.0000 0.5000 0.0000  -0.03

No. 4
The following is a DFT calculation (SCAN) of a crystal of CaMg2As relaxed with PBEsol.

Crystal system = orthorhombic

Unit cell a=3.3858 b=5.6892 c=5.6892 alpha=117.99 beta=90.00 gamma=90.00
Sites, in units of the cell vectors:
1 As 0.5000 0.0000 0.0000
2 Mg 0.0000 0.0000 0.5000
3 Mg 0.0000 0.5000 0.0000
4 Ca 0.5000 0.5000 0.5000

No. 5
The following is a DFT calculation (SCAN) of a crystal of Ca2MgAs relaxed with PBEsol.

Offset from the most stable computed form = 0.0777 eV/atom
Crystal system = orthorhombic

Unit cell a=3.7658 b=4.7917 c=6.7635 alpha=110.75 beta=106.16 gamma=90.00
Sites, in units of the cell vectors:
1 Ca 0.2534 0.2534 0.5068
2 Mg 0.4317 0.9317 0.8635
3 Ca 0.0555 0.5555 0.1110
4 As 0.7594 0.7594 0.5187

No. 6
The following is a DFT calculation (SCAN) of a crystal of CaMg2As2 relaxed with PBEsol.

Crystal system = tetragonal

Unit cell a=4.1548 b=4.1548 c=7.1834 alpha=106.81 beta=106.81 gamma=90.00
Sites, in units of the cell vectors:
1 Mg 0.7500 0.2500 0.5000
2 As 0.3770 0.3770 0.7539
3 Ca 0.0000 0.0000 0.0000
4 As 0.6230 0.6230 0.2461
5 Mg 0.2500 0.7500 0.5000

no.,formation energy from the elements (eV per atom),N(E_F) (states/eV/cell)
1,-0.7100,0.8
2,0.7491,3.0
3,0.0515,1.7
4,-0.1270,2.4
5,-0.5743,2.1
6,-0.8534,0.0